## TaSiAg2 (PBE-GGA)

Data for TaSiAg2 after structural relaxation.

Calculated values
For the final energy, the calculation gives -5.6545 eV per atom. The magnetization comes out at 0.0 μB per formula unit. For the energy relative to the elements, uncorrected, the calculation gives 90.0 meV/atom.

Geometry as POSCAR:
```
TaSiAg2
1.0
3.949 0.000 0.000
0.000 1.462 5.849
0.000 -1.462 5.849
Ta Si Ag
1 1 2
Direct
0.000 0.000 0.000 Ta
0.500 0.410 0.410 Si
0.000 0.266 0.266 Ag
0.500 0.646 0.646 Ag
```


## TaSi2Ag (PBE-GGA)

Data for TaSi2Ag after structural relaxation.

Calculated values
For the final energy, the calculation gives -6.2266 eV per atom. The magnetization comes out at 0.0 μB per formula unit. For the energy relative to the elements, uncorrected, the calculation gives 160.9 meV/atom.

Geometry as POSCAR:
```
TaSi2Ag
1.0
-1.971 1.971 4.044
1.971 -1.971 4.044
1.971 1.971 -4.044
Ta Si Ag
1 2 1
Direct
0.000 0.000 0.000 Ta
0.250 0.750 0.500 Si
0.750 0.250 0.500 Si
0.500 0.500 0.000 Ag
```